a | Tm2ZnTe after structural relaxation. Source: Alexandria, functional PBE.

The structure in POSCAR format:
```
Tm2ZnTe
1.0
3.754 0.000 0.000
0.000 3.754 0.000
0.000 0.000 6.863
Tm Te Zn
2 1 1
Direct
0.000 0.000 0.240
0.000 0.000 0.760
0.500 0.500 0.500
0.500 0.500 0.000
```

Summary:
For the density of states at the Fermi level, the calculation gives 3.76 states/eV/cell. As for the total moment: 0.002 μB per cell. The symmetry is No. 123.

---

b | Tm2ZnTe after structural relaxation. Source: Alexandria, functional PBE.

The structure in POSCAR format:
```
Tm2ZnTe
1.0
3.841 0.000 0.000
1.920 3.326 0.000
1.920 1.109 9.968
Tm Te Zn
2 1 1
Direct
0.902 0.902 0.295
0.098 0.098 0.705
0.500 0.500 0.500
0.000 0.000 0.000
```

Summary:
For the density of states at the Fermi level, the calculation gives 3.17 states/eV/cell. As for the total moment: 0.000 μB per cell. The symmetry is No. 166.

---

c | Tm2ZnTe after structural relaxation. Source: Alexandria, functional PBE.

The structure in POSCAR format:
```
Tm2ZnTe
1.0
3.979 0.000 0.000
1.989 3.446 0.000
1.989 1.149 7.722
Tm Zn Te
2 1 1
Direct
0.077 0.077 0.768
0.256 0.256 0.233
0.668 0.668 0.997
0.499 0.499 0.502
```

Summary:
For the density of states at the Fermi level, the calculation gives 3.67 states/eV/cell. As for the total moment: 0.000 μB per cell. The symmetry is No. 160.

---

d | Tm2ZnTe after structural relaxation. Source: Alexandria, functional PBE.

The structure in POSCAR format:
```
Tm2ZnTe
1.0
-3.152 1.005 2.600
-1.460 -3.916 -0.256
7.265 -1.074 9.225
Zn Tm Te
2 4 2
Direct
0.750 0.538 0.075
0.250 0.462 0.925
0.750 0.938 0.876
0.250 0.335 0.670
0.750 0.665 0.330
0.250 0.062 0.124
0.750 0.804 0.608
0.250 0.196 0.392
```

Summary:
For the density of states at the Fermi level, the calculation gives 5.31 states/eV/cell. As for the total moment: 0.000 μB per cell. The symmetry is No. 63.

---

Stability ranking, top and bottom: d is the most stable and b is the least stable.

---

a | TmZrTe after structural relaxation. Source: Alexandria, functional PBE.

The structure in POSCAR format:
```
TmZrTe
1.0
-2.803 -2.611 -0.162
0.825 -1.470 9.433
-4.890 8.012 0.850
Te Tm Zr
4 4 4
Direct
0.361 0.891 0.721
0.366 0.401 0.732
0.634 0.599 0.268
0.639 0.109 0.279
0.097 0.344 0.194
0.903 0.656 0.806
0.541 0.837 0.082
0.459 0.163 0.918
0.745 0.375 0.491
0.740 0.871 0.480
0.255 0.625 0.509
0.260 0.129 0.520
```

Summary:
For the density of states at the Fermi level, the calculation gives 8.14 states/eV/cell. As for the total moment: 0.000 μB per cell. The symmetry is No. 12.

---

b | TmZrTe after structural relaxation. Source: Alexandria, functional PBE.

The structure in POSCAR format:
```
TmZrTe
1.0
3.743 0.000 0.000
0.000 4.951 0.000
0.000 -2.476 4.288
Zr Tm Te
1 1 1
Direct
0.167 0.000 0.000
0.667 0.667 0.333
0.166 0.333 0.667
```

Summary:
For the density of states at the Fermi level, the calculation gives 3.14 states/eV/cell. As for the total moment: 0.000 μB per cell. The symmetry is No. 187.

---

c | TmZrTe after structural relaxation. Source: Alexandria, functional PBE.

The structure in POSCAR format:
```
TmZrTe
1.0
4.054 0.000 0.000
0.000 4.054 0.000
0.000 0.000 9.892
Te Tm Zr
2 2 2
Direct
0.500 0.000 0.372
0.000 0.500 0.628
0.000 0.500 0.272
0.500 0.000 0.728
0.000 0.500 0.943
0.500 0.000 0.057
```

Summary:
For the density of states at the Fermi level, the calculation gives 7.04 states/eV/cell. As for the total moment: 0.001 μB per cell. The symmetry is No. 129.

---

Stability ranking, top and bottom: c is the most stable and b is the least stable.

---

a | TmZr2Te after structural relaxation. Source: Alexandria, functional PBE.

The structure in POSCAR format:
```
TmZr2Te
1.0
-0.718 3.219 -1.069
-1.458 2.267 2.181
8.584 4.908 3.394
Te Tm Zr
1 1 2
Direct
0.500 0.500 0.500
0.000 0.000 0.000
0.097 0.097 0.709
0.903 0.903 0.291
```

Summary:
For the density of states at the Fermi level, the calculation gives 5.65 states/eV/cell. As for the total moment: 0.845 μB per cell. The symmetry is No. 166.

---

b | TmZr2Te after structural relaxation. Source: Alexandria, functional PBE.

The structure in POSCAR format:
```
TmZr2Te
1.0
4.299 0.000 0.000
0.000 4.176 -0.831
0.000 0.006 10.912
Zr Tm Te
4 2 2
Direct
0.750 0.445 0.888
0.750 0.054 0.108
0.250 0.555 0.112
0.250 0.946 0.892
0.750 0.806 0.610
0.250 0.194 0.390
0.250 0.339 0.678
0.750 0.661 0.322
```

Summary:
For the density of states at the Fermi level, the calculation gives 5.03 states/eV/cell. As for the total moment: 0.000 μB per cell. The symmetry is No. 11.

---

Stability ranking, top and bottom: b is the most stable and a is the least stable.

---

a | ZrUTe2 after structural relaxation. Source: Alexandria, functional PBE.

The structure in POSCAR format:
```
ZrUTe2
1.0
-1.266 0.596 -3.356
-3.306 -1.190 -0.934
-5.601 8.681 1.685
Zr Te U
1 2 1
Direct
0.500 0.500 0.500
0.898 0.898 0.306
0.102 0.102 0.694
0.000 0.000 0.000
```

Summary:
For the density of states at the Fermi level, the calculation gives 8.79 states/eV/cell. As for the total moment: 3.933 μB per cell. The symmetry is No. 166.

---

b | ZrUTe2 after structural relaxation. Source: Alexandria, functional PBE.

The structure in POSCAR format:
```
ZrUTe2
1.0
3.627 0.000 0.000
0.000 3.627 0.000
0.000 0.000 7.435
Zr Te U
1 2 1
Direct
0.500 0.500 0.000
0.000 0.000 0.765
0.000 0.000 0.235
0.500 0.500 0.500
```

Summary:
For the density of states at the Fermi level, the calculation gives 8.05 states/eV/cell. As for the total moment: 3.261 μB per cell. The symmetry is No. 123.

---

Stability ranking, top and bottom: b is the most stable and a is the least stable.

---

a | V3Te4 after structural relaxation. Source: Alexandria, functional PBE.

The structure in POSCAR format:
```
V3Te4
1.0
3.583 0.000 -1.165
-0.622 6.147 -1.912
0.371 -0.489 7.234
V Te
3 4
Direct
0.242 0.300 0.484
0.000 0.000 0.000
0.758 0.700 0.516
0.397 0.688 0.794
0.603 0.312 0.206
0.849 0.163 0.698
0.151 0.837 0.302
```

Summary:
For the density of states at the Fermi level, the calculation gives 4.62 states/eV/cell. As for the total moment: 2.742 μB per cell. The symmetry is No. 12.

---

b | V3Te4 after structural relaxation. Source: Alexandria, functional PBE.

The structure in POSCAR format:
```
V3Te4
1.0
7.272 -0.002 0.007
6.198 3.804 0.007
3.056 0.863 6.093
V Te
3 4
Direct
0.256 0.256 0.707
0.000 0.000 0.000
0.744 0.744 0.293
0.111 0.111 0.548
0.889 0.889 0.452
0.637 0.637 0.024
0.363 0.363 0.976
```

Summary:
For the density of states at the Fermi level, the calculation gives 4.81 states/eV/cell. As for the total moment: 6.869 μB per cell. The symmetry is No. 12.

---

Stability ranking, top and bottom: b is the most stable and a is the least stable.

---

a | VTe2W after structural relaxation. Source: Alexandria, functional PBE.

The structure in POSCAR format:
```
VTe2W
1.0
1.870 0.000 9.093
-0.935 1.619 9.093
-0.935 -1.619 9.093
Te V W
2 1 1
Direct
0.902 0.902 0.902
0.098 0.098 0.098
0.500 0.500 0.500
0.000 0.000 0.000
```

Summary:
For the density of states at the Fermi level, the calculation gives 5.38 states/eV/cell. As for the total moment: 0.000 μB per cell. The symmetry is No. 166.

---

b | VTe2W after structural relaxation. Source: Alexandria, functional PBE.

The structure in POSCAR format:
```
VTe2W
1.0
0.000 3.362 3.362
3.362 0.000 3.362
3.362 3.362 0.000
W V Te
1 1 2
Direct
0.500 0.500 0.500
0.000 0.000 0.000
0.750 0.750 0.750
0.250 0.250 0.250
```

Summary:
For the density of states at the Fermi level, the calculation gives 2.39 states/eV/cell. As for the total moment: 2.647 μB per cell. The symmetry is No. 225.

---

Stability ranking, top and bottom: b is the most stable and a is the least stable.